RbCrBr2F: optimized geometry, GGA+U.

Structure (POSCAR):
```
RbCrBr2F
1.0
5.642 0.000 0.000
0.000 5.642 0.000
0.000 0.000 4.067
Rb Cr Br F
1 1 2 1
Cartesian
0.000 0.000 0.000
2.821 2.821 2.034
0.000 2.821 2.034
2.821 0.000 2.034
2.821 2.821 0.000
```

Calculated values
electronic total energy	-22.25	eV for the cell shown
total magnetic moment	4.0	μB per cell